Entry from Alexandria via LeMat-Bulk: a geometry-optimized PmNd6Dy5 structure (PBE-GGA).

```
PmNd6Dy5
1.0
-2.5681 5.0930 7.6899
2.5681 -5.0930 7.6899
2.5681 5.0930 -7.6899
Pm Nd Dy
1 6 5
Cartesian
0.0000 0.0000 0.0000
2.5681 -2.5379 5.1229
2.5681 2.5608 0.0000
0.0000 2.5551 2.5670
2.5681 2.5379 5.1229
0.0000 2.5322 7.6899
0.0000 7.6309 2.5670
2.5681 0.0000 2.5724
0.0000 0.0000 5.1253
0.0000 5.0930 0.0000
0.0000 0.0000 10.2545
0.0000 5.0930 5.1175
```

Output
- Crystal system: orthorhombic
- Energy above the lowest structure with this stoichiometry: 3 meV/atom
- D(E_F): 16.1 states/eV/f.u.
- Energy of formation: 15 meV/atom


Entry from Alexandria via LeMat-Bulk: a geometry-optimized Pm5Nd3Dy4 structure (PBE-GGA).

```
Pm5Nd3Dy4
1.0
6.2752 0.0000 0.0000
-0.0069 7.2367 0.0000
-0.0063 -0.0110 8.8704
Pm Nd Dy
5 3 4
Cartesian
0.0000 0.0000 0.0000
2.0853 3.6163 2.9691
3.1186 5.4312 8.8683
3.1433 1.7945 0.0020
4.1767 3.6095 5.9012
-0.0035 3.6184 0.0000
1.0364 1.7865 5.8977
5.2256 5.4393 2.9727
1.0430 5.4347 5.9023
2.0933 -0.0007 2.9711
4.1686 7.2264 5.8993
5.2190 1.7911 2.9681
```

Output
- Crystal system: triclinic
- Energy above the lowest structure with this stoichiometry: 0 meV/atom
- D(E_F): 15.9 states/eV/f.u.
- Energy of formation: 14 meV/atom


Entry from Alexandria via LeMat-Bulk: a geometry-optimized PmNd4Dy6 structure (PBE-GGA).

```
PmNd4Dy6
1.0
-3.3494 3.3494 8.5047
3.3494 -3.3494 8.5047
3.3494 3.3494 -8.5047
Pm Nd Dy
1 4 6
Cartesian
0.0000 0.0000 0.0000
1.2747 1.2747 -2.9889
2.0747 -2.0747 11.4936
2.0747 2.0747 5.5158
-2.0747 2.0747 11.4936
3.3494 0.0000 0.0000
1.1895 -1.1895 6.3906
2.1599 2.1599 2.1141
0.0000 3.3494 0.0000
-1.1895 1.1895 6.3906
1.1895 1.1895 10.6188
```

Output
- Crystal system: tetragonal
- Energy above the lowest structure with this stoichiometry: 0 meV/atom
- D(E_F): 15.0 states/eV/f.u.
- Energy of formation: 303 meV/atom


Entry from Alexandria via LeMat-Bulk: a geometry-optimized Pm8Nd4Dy structure (PBE-GGA).

```
Pm8Nd4Dy
1.0
5.6409 3.2568 4.5125
-5.6409 3.2568 4.5125
0.0000 -6.5135 4.5125
Pm Nd Dy
8 4 1
Cartesian
0.0000 -3.3722 5.5372
-2.9204 1.6861 5.5372
0.0000 0.0000 3.2167
-2.9204 -1.6861 8.0002
2.9204 1.6861 5.5373
0.0000 0.0000 10.3207
2.9204 -1.6861 8.0002
0.0000 3.3722 8.0002
0.0000 0.0000 0.0000
-2.8204 -1.6284 4.5125
-2.8204 1.6284 9.0250
0.0000 3.2568 4.5125
0.0000 0.0000 6.7687
```

Output
- Crystal system: trigonal
- D(E_F): 20.6 states/eV/f.u.
- Energy of formation: 480 meV/atom


Entry from Alexandria via LeMat-Bulk: a geometry-optimized PmNd3Dy5 structure (PBE-GGA).

```
PmNd3Dy5
1.0
7.7022 -5.7004 0.0000
7.7022 5.7004 0.0000
-6.4596 0.0000 7.6177
Pm Nd Dy
2 6 10
Cartesian
1.1790 0.0000 3.0917
7.7658 0.0000 4.5260
0.0000 0.0000 0.0000
-1.9836 0.0000 2.7515
6.3637 0.0000 1.4486
4.4724 0.0000 3.8088
2.5811 0.0000 6.1691
10.9285 0.0000 4.8662
3.7299 2.8567 1.9026
3.1833 0.0000 0.3187
7.7022 2.7689 0.0000
-0.6880 0.0000 5.9198
5.2149 2.8567 5.7151
3.7299 -2.8567 1.9026
9.6328 0.0000 1.6979
7.7022 -2.7689 0.0000
5.7616 0.0000 7.2990
5.2149 -2.8567 5.7151
```

Output
- Crystal system: monoclinic
- Energy above the lowest structure with this stoichiometry: 217 meV/atom
- D(E_F): 12.5 states/eV/f.u.
- Energy of formation: 505 meV/atom


Entry from Alexandria via LeMat-Bulk: a geometry-optimized PmNd5Dy4 structure (PBE-GGA).

```
PmNd5Dy4
1.0
9.1545 -1.8017 0.0000
9.1545 1.8017 0.0000
-1.1443 0.0000 10.5211
Pm Nd Dy
1 5 4
Cartesian
0.0000 0.0000 0.0000
-0.5721 0.0000 5.2606
5.2251 0.0000 4.2367
5.6743 0.0000 8.0878
11.4905 0.0000 2.4334
11.9397 0.0000 6.2844
2.3083 0.0000 9.5896
8.0399 0.0000 2.5150
9.1249 0.0000 8.0061
14.8564 0.0000 0.9316
```

Output
- Crystal system: monoclinic
- Energy above the lowest structure with this stoichiometry: 134 meV/atom
- D(E_F): 15.7 states/eV/f.u.
- Energy of formation: 149 meV/atom


Entry from Alexandria via LeMat-Bulk: a geometry-optimized Pm7Nd4Dy structure (PBE-GGA).

```
Pm7Nd4Dy
1.0
8.2247 -3.0345 0.0000
8.2247 3.0345 0.0000
-4.1354 0.0000 8.4395
Pm Nd Dy
7 4 1
Cartesian
0.0000 0.0000 0.0000
4.2617 0.0000 1.0488
1.6029 0.0000 6.5522
4.5641 0.0000 4.7625
7.7499 0.0000 3.6769
10.7111 0.0000 1.8873
8.0523 0.0000 7.3906
-1.6689 0.0000 5.9159
1.2550 0.0000 3.2748
11.0590 0.0000 5.1647
13.9829 0.0000 2.5235
8.2247 0.0000 0.0000
```

Output
- Crystal system: monoclinic
- Energy above the lowest structure with this stoichiometry: 200 meV/atom
- D(E_F): 18.8 states/eV/f.u.
- Energy of formation: 212 meV/atom


Entry from Alexandria via LeMat-Bulk: a geometry-optimized PmNd6Dy4 structure (PBE-GGA).

```
PmNd6Dy4
1.0
11.1192 0.0000 0.0000
-5.5596 9.6295 0.0000
0.0000 0.0000 3.5947
Pm Nd Dy
1 6 4
Cartesian
0.0000 0.0000 0.0000
-2.3716 5.0504 0.0000
3.0422 1.7564 1.7974
2.3716 5.0504 0.0000
0.0000 9.1581 0.0000
8.0770 1.7564 1.7974
5.5596 6.1167 1.7974
0.0000 3.0931 1.7974
-2.8809 8.0829 1.7974
5.5596 3.2098 0.0000
2.8809 8.0829 1.7974
```

Output
- Crystal system: hexagonal
- Energy above the lowest structure with this stoichiometry: 0 meV/atom
- D(E_F): 15.5 states/eV/f.u.
- Energy of formation: 148 meV/atom